# PBE-GGA SmHo14Mg, relaxed
# DFT formation energy in eV per atom: 0.02
# D(E_F) in states/eV/cell: 18.32
# SG: Amm2, No. 38
# Uncorrected energy in eV/cell: -70.06
data_SmHo14Mg
_chemical_formula_sum 'Sm1 Ho14 Mg1'
_space_group_name_H-M_alt 'P 1'
_space_group_IT_number 1
_cell_length_a 7.0171
_cell_length_b 7.0171
_cell_length_c 9.9538
_cell_angle_alpha 90.00
_cell_angle_beta 90.00
_cell_angle_gamma 90.00
loop_
_space_group_symop_operation_xyz
'x,y,z'
loop_
_atom_site_label
_atom_site_type_symbol
_atom_site_fract_x
_atom_site_fract_y
_atom_site_fract_z
Sm1 Sm 0.6249 0.3751 0.5000
Ho1 Ho 0.1249 0.8751 0.0000
Ho2 Ho 0.6249 0.3751 0.0000
Ho3 Ho 0.1249 0.3748 0.5000
Ho4 Ho 0.1250 0.3751 0.0000
Ho5 Ho 0.6252 0.8751 0.5000
Ho6 Ho 0.6249 0.8750 0.0000
Ho7 Ho 0.3758 0.1259 0.7504
Ho8 Ho 0.3758 0.1259 0.2496
Ho9 Ho 0.8741 0.6242 0.7504
Ho10 Ho 0.8741 0.6242 0.2496
Ho11 Ho 0.3758 0.6242 0.7503
Ho12 Ho 0.3758 0.6242 0.2497
Ho13 Ho 0.8741 0.1259 0.7505
Ho14 Ho 0.8741 0.1259 0.2495
Mg1 Mg 0.1256 0.8744 0.5000

---

# PBE-GGA SmHo3Mg3, relaxed
# DFT formation energy in eV per atom: 0.00
# D(E_F) in states/eV/cell: 21.32
# SG: P2_1/m, No. 11
# Uncorrected energy in eV/cell: -46.42
data_SmHo3Mg3
_chemical_formula_sum 'Sm2 Ho6 Mg6'
_space_group_name_H-M_alt 'P 1'
_space_group_IT_number 1
_cell_length_a 5.4971
_cell_length_b 9.1235
_cell_length_c 9.1307
_cell_angle_alpha 120.00
_cell_angle_beta 90.00
_cell_angle_gamma 90.00
loop_
_space_group_symop_operation_xyz
'x,y,z'
loop_
_atom_site_label
_atom_site_type_symbol
_atom_site_fract_x
_atom_site_fract_y
_atom_site_fract_z
Sm1 Sm 0.7500 0.3337 0.6667
Sm2 Sm 0.2500 0.6663 0.3333
Ho1 Ho 0.7500 0.7602 0.9614
Ho2 Ho 0.7500 0.2015 0.2402
Ho3 Ho 0.7500 0.0389 0.7986
Ho4 Ho 0.2500 0.2398 0.0386
Ho5 Ho 0.2500 0.7985 0.7598
Ho6 Ho 0.2500 0.9611 0.2014
Mg1 Mg 0.7500 0.9072 0.3841
Mg2 Mg 0.7500 0.4771 0.0929
Mg3 Mg 0.7500 0.6162 0.5231
Mg4 Mg 0.2500 0.0928 0.6159
Mg5 Mg 0.2500 0.5229 0.9071
Mg6 Mg 0.2500 0.3838 0.4769

---

# PBE-GGA SmHo2Mg6, relaxed
# DFT formation energy in eV per atom: -0.07
# D(E_F) in states/eV/cell: 4.92
# SG: P6/mmm, No. 191
# Uncorrected energy in eV/cell: -24.11
data_SmHo2Mg6
_chemical_formula_sum 'Sm1 Ho2 Mg6'
_space_group_name_H-M_alt 'P 1'
_space_group_IT_number 1
_cell_length_a 3.2909
_cell_length_b 9.0861
_cell_length_c 9.0861
_cell_angle_alpha 59.99
_cell_angle_beta 90.01
_cell_angle_gamma 90.01
loop_
_space_group_symop_operation_xyz
'x,y,z'
loop_
_atom_site_label
_atom_site_type_symbol
_atom_site_fract_x
_atom_site_fract_y
_atom_site_fract_z
Sm1 Sm 0.0000 0.0000 0.0000
Ho1 Ho 0.0000 0.3333 0.3333
Ho2 Ho 0.0000 0.6667 0.6667
Mg1 Mg 0.4993 0.6640 0.0000
Mg2 Mg 0.5007 0.0000 0.3360
Mg3 Mg 0.5007 0.3360 0.0000
Mg4 Mg 0.5000 0.6640 0.3360
Mg5 Mg 0.4993 0.0000 0.6640
Mg6 Mg 0.5000 0.3360 0.6640

---

Look up the uncorrected energy of the first one. -70.06 eV/cell